A plane-wave DFT calculation with PBE was carried out for a geometry-optimized PrThSn2Rh5 structure.

The calculation puts the density of states at the Fermi level at 9.1 states/eV/cell. For the total moment, the calculation gives 0.000 μB per formula unit. The calculated formation energy is -0.4615 eV/atom. For the mass density, the calculation gives 10.3 Mg/m³.

It has space group P4/mmm (No. 123), with a = 4.460 Å, b = 4.460 Å, c = 9.140 Å, α = 90.00°, β = 90.00° and γ = 90.00°. The asymmetric unit holds Pr at (0.000, 0.000, 0.000), Th at (0.000, 0.000, 0.500), Sn at (0.500, 0.500, 0.348), Rh at (0.000, 0.500, 0.216) and Rh at (0.500, 0.500, 0.000).

A plane-wave DFT calculation with PBE was carried out for a geometry-optimized Ca2PdI structure.

The calculation puts the density of states at the Fermi level at 5.8 states/eV/cell. For the total moment, the calculation gives 0.000 μB per formula unit. For the relative energy among the computed polymorphs, the calculation gives 0.0 kJ/mol of formula units. For the mass density, the calculation gives 4.2 Mg/m³.

It has space group R-3m (No. 166, hexagonal axes), with a = 4.2609 Å, b = 4.2609 Å, c = 23.5280 Å, α = 90.00°, β = 90.00° and γ = 120.00°. The asymmetric unit holds Ca at (0.0000, 0.0000, 0.2320), Pd at (0.0000, 0.0000, 0.5000) and I at (0.0000, 0.0000, 0.0000).

A plane-wave DFT calculation with PBE was carried out for a geometry-optimized ErSi3 structure.

The calculation puts the density of states at the Fermi level at 1.0 states/eV/cell. For the total moment, the calculation gives 0.000 μB per formula unit. As for the raw total energy: -5.4650 eV/atom. For the mass density, the calculation gives 5.8 Mg/m³.

It has space group Pmm2 (No. 25), with a = 3.805 Å, b = 4.162 Å, c = 4.584 Å, α = 90.00°, β = 90.00° and γ = 90.00°. The asymmetric unit holds Er at (0.000, 0.000, 0.000), Si at (0.000, 0.500, 0.536), Si at (0.500, 0.000, 0.512) and Si at (0.500, 0.500, 0.192).